No. 1
# Cs2Rb2Hg7 GGA-PBE relaxed
# - M_tot (μB/atom) = 0.00
# - calculated volume (Å³ per cell) = 981.8
# - energy of formation from the pure elements (eV/atom) = -0.21
# - calculated total energy (eV/atom) = -0.73
data_Cs2Rb2Hg7
_chemical_formula_sum 'Cs4 Rb4 Hg14'
_symmetry_space_group_name_H-M 'C 1 2/m 1'
_symmetry_Int_Tables_number 12
_cell_length_a 13.558
_cell_length_b 12.637
_cell_length_c 5.733
_cell_angle_alpha 90.00
_cell_angle_beta 91.54
_cell_angle_gamma 90.00
loop_
_symmetry_equiv_pos_as_xyz
'x,y,z'
'-x,-y,-z'
'-x,y,-z'
'x,-y,z'
'x+1/2,y+1/2,z'
'-x+1/2,-y+1/2,-z'
'-x+1/2,y+1/2,-z'
'x+1/2,-y+1/2,z'
loop_
_atom_site_label
_atom_site_fract_x
_atom_site_fract_y
_atom_site_fract_z
_atom_site_occupancy
Cs1 0.239 0.000 0.254 1
Rb1 0.000 0.277 0.000 1
Hg1 0.000 0.500 0.500 1
Hg2 0.054 0.000 0.745 1
Hg3 0.240 0.194 0.746 1



No. 2
# Cs3Rb2Hg4 GGA-PBE relaxed
# - M_tot (μB/atom) = 0.00
# - calculated volume (Å³ per cell) = 1008.3
# - energy of formation from the pure elements (eV/atom) = -0.20
# - calculated total energy (eV/atom) = -0.83
# - offset from the most stable computed form (eV per atom) = 0.005
data_Cs3Rb2Hg4
_chemical_formula_sum 'Cs6 Rb4 Hg8'
_symmetry_space_group_name_H-M 'C 1 2/m 1'
_symmetry_Int_Tables_number 12
_cell_length_a 14.173
_cell_length_b 5.334
_cell_length_c 13.426
_cell_angle_alpha 90.00
_cell_angle_beta 96.54
_cell_angle_gamma 90.00
loop_
_symmetry_equiv_pos_as_xyz
'x,y,z'
'-x,-y,-z'
'-x,y,-z'
'x,-y,z'
'x+1/2,y+1/2,z'
'-x+1/2,-y+1/2,-z'
'-x+1/2,y+1/2,-z'
'x+1/2,-y+1/2,z'
loop_
_atom_site_label
_atom_site_fract_x
_atom_site_fract_y
_atom_site_fract_z
_atom_site_occupancy
Cs1 0.000 0.000 0.000 1
Cs2 0.128 0.500 0.382 1
Rb1 0.172 0.500 0.776 1
Hg1 0.080 0.000 0.586 1
Hg2 0.218 0.500 0.053 1



No. 3
# Cs3RbHg GGA-PBE relaxed
# - M_tot (μB/atom) = 0.00
# - calculated volume (Å³ per cell) = 2076.2
# - energy of formation from the pure elements (eV/atom) = 0.14
# - calculated total energy (eV/atom) = -0.62
# - offset from the most stable computed form (eV per atom) = 0.244
data_Cs3RbHg
_chemical_formula_sum 'Cs9 Rb3 Hg3'
_symmetry_space_group_name_H-M 'R 3 m'
_symmetry_Int_Tables_number 160
_symmetry_space_group_name_Hall 'R 3 -2"'
_cell_length_a 10.2990
_cell_length_b 10.2990
_cell_length_c 22.6019
_cell_angle_alpha 90.00
_cell_angle_beta 90.00
_cell_angle_gamma 120.00
loop_
_atom_site_label
_atom_site_fract_x
_atom_site_fract_y
_atom_site_fract_z
_atom_site_occupancy
Cs1 0.0037 0.5018 0.0000 1
Rb1 0.0000 0.0000 0.5009 1
Hg1 0.0000 0.0000 0.2007 1



No. 4
# Cs5Rb3Hg3 GGA-PBE relaxed
# - M_tot (μB/atom) = 0.00
# - calculated volume (Å³ per cell) = 895.7
# - energy of formation from the pure elements (eV/atom) = -0.10
# - calculated total energy (eV/atom) = -0.83
data_Cs5Rb3Hg3
_chemical_formula_sum 'Cs5 Rb3 Hg3'
_symmetry_space_group_name_H-M 'P -6 2 m'
_symmetry_Int_Tables_number 189
_symmetry_space_group_name_Hall 'P -6 -2'
_cell_length_a 11.9507
_cell_length_b 11.9507
_cell_length_c 7.2416
_cell_angle_alpha 90.00
_cell_angle_beta 90.00
_cell_angle_gamma 120.00
loop_
_atom_site_label
_atom_site_fract_x
_atom_site_fract_y
_atom_site_fract_z
_atom_site_occupancy
Cs1 0.0000 0.7551 0.0000 1
Cs2 0.3333 0.6667 0.0000 1
Rb1 0.0000 0.4050 0.5000 1
Hg1 0.0000 0.3768 0.0000 1



No. 5
# CsRb12Hg6 GGA-PBE relaxed
# - M_tot (μB/atom) = 0.00
# - calculated volume (Å³ per cell) = 2417.7
# - energy of formation from the pure elements (eV/atom) = -0.14
# - calculated total energy (eV/atom) = -0.89
data_CsRb12Hg6
_chemical_formula_sum 'Cs2 Rb24 Hg12'
_symmetry_space_group_name_H-M 'I m -3'
_symmetry_Int_Tables_number 204
_symmetry_space_group_name_Hall '-I 2 2 3'
_cell_length_a 13.422
_cell_length_b 13.422
_cell_length_c 13.422
_cell_angle_alpha 90.00
_cell_angle_beta 90.00
_cell_angle_gamma 90.00
loop_
_atom_site_label
_atom_site_fract_x
_atom_site_fract_y
_atom_site_fract_z
_atom_site_occupancy
Cs1 0.000 0.000 0.000 1
Rb1 0.000 0.314 0.189 1
Hg1 0.000 0.111 0.500 1



No. 6
# CsRb12Hg7 GGA-PBE relaxed
# - M_tot (μB/atom) = 0.00
# - calculated volume (Å³ per cell) = 3524.1
# - energy of formation from the pure elements (eV/atom) = -0.12
# - calculated total energy (eV/atom) = -0.84
data_CsRb12Hg7
_chemical_formula_sum 'Cs3 Rb36 Hg21'
_symmetry_space_group_name_H-M 'R -3'
_symmetry_Int_Tables_number 148
_symmetry_space_group_name_Hall '-R 3'
_cell_length_a 23.0656
_cell_length_b 23.0656
_cell_length_c 7.6488
_cell_angle_alpha 90.00
_cell_angle_beta 90.00
_cell_angle_gamma 120.00
loop_
_atom_site_label
_atom_site_fract_x
_atom_site_fract_y
_atom_site_fract_z
_atom_site_occupancy
Cs1 0.0000 0.0000 0.0000 1
Rb1 0.0263 0.4369 0.6606 1
Rb2 0.0515 0.8706 0.3369 1
Hg1 0.0000 0.0000 0.5000 1
Hg2 0.0490 0.8707 0.8362 1



No. 7
# CsRb12Hg5 GGA-PBE relaxed
# - M_tot (μB/atom) = 0.00
# - calculated volume (Å³ per cell) = 2289.9
# - energy of formation from the pure elements (eV/atom) = -0.12
# - calculated total energy (eV/atom) = -0.90
data_CsRb12Hg5
_chemical_formula_sum 'Cs2 Rb24 Hg10'
_symmetry_space_group_name_H-M 'I m m m'
_symmetry_Int_Tables_number 71
_symmetry_space_group_name_Hall '-I 2 2'
_cell_length_a 12.597
_cell_length_b 12.903
_cell_length_c 14.088
_cell_angle_alpha 90.00
_cell_angle_beta 90.00
_cell_angle_gamma 90.00
loop_
_atom_site_label
_atom_site_fract_x
_atom_site_fract_y
_atom_site_fract_z
_atom_site_occupancy
Cs1 0.000 0.000 0.000 1
Rb1 0.000 0.197 0.290 1
Rb2 0.185 0.500 0.316 1
Rb3 0.222 0.325 0.000 1
Hg1 0.000 0.000 0.500 1
Hg2 0.000 0.381 0.500 1
Hg3 0.000 0.500 0.108 1



No. 8
# Cs3RbHg GGA-PBE relaxed
# - M_tot (μB/atom) = 0.00
# - calculated volume (Å³ per cell) = 702.4
# - energy of formation from the pure elements (eV/atom) = 0.19
# - calculated total energy (eV/atom) = -0.57
# - offset from the most stable computed form (eV per atom) = 0.292
data_Cs3RbHg
_chemical_formula_sum 'Cs3 Rb1 Hg1'
_symmetry_space_group_name_H-M 'P m -3 m'
_symmetry_Int_Tables_number 221
_symmetry_space_group_name_Hall '-P 4 2 3'
_cell_length_a 8.889
_cell_length_b 8.889
_cell_length_c 8.889
_cell_angle_alpha 90.00
_cell_angle_beta 90.00
_cell_angle_gamma 90.00
loop_
_atom_site_label
_atom_site_fract_x
_atom_site_fract_y
_atom_site_fract_z
_atom_site_occupancy
Cs1 0.000 0.000 0.500 1
Rb1 0.000 0.000 0.000 1
Hg1 0.500 0.500 0.500 1



No. 9
# CsRb2Hg GGA-PBE relaxed
# - M_tot (μB/atom) = 0.00
# - calculated volume (Å³ per cell) = 1065.8
# - energy of formation from the pure elements (eV/atom) = -0.13
# - calculated total energy (eV/atom) = -0.90
data_CsRb2Hg
_chemical_formula_sum 'Cs4 Rb8 Hg4'
_symmetry_space_group_name_H-M 'P n m a'
_symmetry_Int_Tables_number 62
_cell_length_a 10.324
_cell_length_b 12.289
_cell_length_c 8.401
_cell_angle_alpha 90.00
_cell_angle_beta 90.00
_cell_angle_gamma 90.00
loop_
_symmetry_equiv_pos_as_xyz
'x,y,z'
'-x,-y,-z'
'-x+1/2,-y,z+1/2'
'x+1/2,y,-z+1/2'
'x+1/2,-y+1/2,-z+1/2'
'-x+1/2,y+1/2,z+1/2'
'-x,y+1/2,-z'
'x,-y+1/2,z'
loop_
_atom_site_label
_atom_site_fract_x
_atom_site_fract_y
_atom_site_fract_z
_atom_site_occupancy
Cs1 0.031 0.250 0.126 1
Rb1 0.171 0.062 0.650 1
Hg1 0.123 0.750 0.436 1



No. 10
# Cs3RbHg2 GGA-PBE relaxed
# - M_tot (μB/atom) = 0.00
# - calculated volume (Å³ per cell) = 1662.1
# - energy of formation from the pure elements (eV/atom) = -0.14
# - calculated total energy (eV/atom) = -0.83
data_Cs3RbHg2
_chemical_formula_sum 'Cs12 Rb4 Hg8'
_symmetry_space_group_name_H-M 'C 1 2/m 1'
_symmetry_Int_Tables_number 12
_cell_length_a 21.972
_cell_length_b 5.765
_cell_length_c 14.391
_cell_angle_alpha 90.00
_cell_angle_beta 114.23
_cell_angle_gamma 90.00
loop_
_symmetry_equiv_pos_as_xyz
'x,y,z'
'-x,-y,-z'
'-x,y,-z'
'x,-y,z'
'x+1/2,y+1/2,z'
'-x+1/2,-y+1/2,-z'
'-x+1/2,y+1/2,-z'
'x+1/2,-y+1/2,z'
loop_
_atom_site_label
_atom_site_fract_x
_atom_site_fract_y
_atom_site_fract_z
_atom_site_occupancy
Cs1 0.053 0.000 0.217 1
Cs2 0.163 0.500 0.028 1
Cs3 0.215 0.000 0.607 1
Rb1 0.070 0.500 0.655 1
Hg1 0.115 0.500 0.421 1
Hg2 0.141 0.000 0.834 1